# 1
Density functional theory data (PBE) for a relaxed LaSiMo2 crystal.

Structure (extended XYZ):
```
4
Lattice="3.405 0.000 0.000 0.000 3.405 0.000 0.000 0.000 6.782" Properties=species:S:1:pos:R:3 pbc="T T T"
La 0.000 0.000 0.000
Si 0.000 0.000 3.391
Mo 1.703 1.703 2.228
Mo 1.703 1.703 4.554
```

# 2
Density functional theory data (PBE) for a relaxed LaSi3Mo crystal.

Structure (extended XYZ):
```
5
Lattice="5.161 0.000 0.000 0.000 5.161 0.000 0.000 0.000 5.161" Properties=species:S:1:pos:R:3 pbc="T T T"
La 0.000 0.000 0.000
Si 0.000 0.000 2.581
Si 0.000 2.581 0.000
Si 2.581 0.000 0.000
Mo 2.581 2.581 2.581
```

The calculation puts the energy relative to the lowest polymorph listed for this composition at 2.3320 eV per atom.

# 3
Density functional theory data (PBE) for a relaxed LaSiMo2 crystal.

Structure (extended XYZ):
```
4
Lattice="3.418 0.000 0.000 0.000 4.611 0.000 -0.558 0.000 5.294" Properties=species:S:1:pos:R:3 pbc="T T T"
La 0.000 0.000 0.000
Si 1.430 0.000 2.647
Mo 0.659 2.305 3.554
Mo 2.201 2.305 1.739
```

# 4
Density functional theory data (PBE) for a relaxed LaSiMo3 crystal.

Structure (extended XYZ):
```
5
Lattice="4.813 0.000 0.000 0.000 4.813 0.000 0.000 0.000 4.813" Properties=species:S:1:pos:R:3 pbc="T T T"
La 0.000 0.000 0.000
Si 2.407 2.407 2.407
Mo 0.000 0.000 2.407
Mo 0.000 2.407 0.000
Mo 2.407 0.000 0.000
```

The calculation puts the energy relative to the lowest polymorph listed for this composition at 1.7862 eV per atom.

| no. | uncorrected energy (eV/f.u.) | density of states at the Fermi level (states/eV per cell) |
| --- | --- | --- |
| 1 | -31.76 | 1.9 |
| 2 | -21.03 | 7.7 |
| 3 | -30.90 | 3.8 |
| 4 | -30.47 | 8.4 |